The following is a DFT calculation (PBE-GGA) of an optimized crystal structure of NaTm4MgS8.

```
NaTm4MgS8
1.0
7.979 0.000 0.000
3.989 6.910 0.000
3.989 2.303 6.407
Na Tm Mg S
1 4 1 8
Direct
0.379 0.379 0.864
0.621 0.621 0.136
0.003 0.491 0.502
0.491 0.003 0.502
0.003 0.003 0.502
0.004 0.004 0.989
0.234 0.789 0.743
0.789 0.234 0.743
0.234 0.234 0.743
0.240 0.240 0.281
0.761 0.223 0.254
0.223 0.761 0.254
0.761 0.761 0.254
0.757 0.757 0.730
```

The calculation puts the total magnetic moment at 0.00 μB/f.u. Its electronic total energy is -77.44 eV per cell. Its formation energy from raw total energies is -1.69 eV/atom. As for the density of states at the Fermi level: 11.60 states/eV/cell.


The following is a DFT calculation (PBE-GGA) of an optimized crystal structure of ScTeHSe2.

```
ScTeHSe2
1.0
5.274 0.000 0.000
0.000 3.812 0.000
0.000 0.000 5.274
Sc H Te Se
1 1 1 2
Direct
0.000 0.000 0.000
0.000 0.500 0.000
0.500 0.500 0.500
0.000 0.000 0.500
0.500 0.000 0.000
```

The calculation puts the total magnetic moment at 0.00 μB/f.u. Its electronic total energy is -21.84 eV per cell. As for the density of states at the Fermi level: 1.95 states/eV/cell.


The following is a DFT calculation (PBE-GGA) of an optimized crystal structure of Ac2AlInSi.

```
Ac2AlInSi
1.0
-2.243 -4.009 -0.128
5.558 -3.247 4.303
-6.393 3.381 6.125
Ac Al In Si
4 2 2 2
Direct
0.750 0.805 0.594
0.750 0.752 0.031
0.250 0.195 0.406
0.250 0.248 0.969
0.250 0.529 0.734
0.750 0.471 0.266
0.250 0.678 0.303
0.750 0.322 0.697
0.250 0.848 0.830
0.750 0.152 0.170
```

The calculation puts the total magnetic moment at 0.00 μB/f.u. Its electronic total energy is -44.04 eV per cell. Its formation energy from raw total energies is -0.38 eV/atom. As for the density of states at the Fermi level: 6.44 states/eV/cell.


The following is a DFT calculation (PBE-GGA) of an optimized crystal structure of Li7Zn4Pd.

```
Li7Zn4Pd
1.0
4.704 0.000 0.000
2.352 7.031 1.151
2.352 1.360 6.028
Li Zn Pd
7 4 1
Direct
0.816 0.865 0.503
0.184 0.135 0.497
0.078 0.584 0.261
0.922 0.416 0.739
0.227 0.750 0.796
0.500 0.000 0.000
0.773 0.250 0.204
0.552 0.301 0.596
0.448 0.699 0.404
0.675 0.634 0.015
0.325 0.366 0.985
0.000 0.000 0.000
```

The calculation puts the total magnetic moment at 0.00 μB/f.u. Its electronic total energy is -24.84 eV per cell. As for the density of states at the Fermi level: 4.56 states/eV/cell. Its energy relative to the elements is -111 kJ/mol of formula units.


The following is a DFT calculation (PBE-GGA) of an optimized crystal structure of Na2Cd2Hg.

```
Na2Cd2Hg
1.0
3.126 0.000 0.976
1.466 5.327 0.798
-0.528 -1.846 7.184
Na Cd Hg
2 2 1
Direct
0.593 0.603 0.210
0.407 0.397 0.790
0.799 0.804 0.599
0.201 0.196 0.401
0.000 0.000 0.000
```

The calculation puts the total magnetic moment at 0.00 μB/f.u. Its electronic total energy is -5.31 eV per cell. As for the density of states at the Fermi level: 1.58 states/eV/cell. Its energy relative to the elements is -52 kJ/mol of formula units.


The following is a DFT calculation (PBE-GGA) of an optimized crystal structure of NbSe2O.

```
NbSe2O
1.0
-4.847 -5.536 3.840
-4.268 -7.034 1.094
-2.170 -7.216 3.479
Nb O Se
1 1 2
Direct
0.500 0.500 0.500
0.000 0.000 0.000
0.399 0.399 0.399
0.601 0.601 0.601
```

The calculation puts the total magnetic moment at 0.00 μB/f.u. Its electronic total energy is -19.63 eV per cell. Its formation energy from raw total energies is 0.59 eV/atom. As for the density of states at the Fermi level: 4.02 states/eV/cell.


The following is a DFT calculation (PBE-GGA) of an optimized crystal structure of Rb2NaPaF8.

```
Rb2NaPaF8
1.0
6.175 0.000 0.000
0.000 6.175 0.000
-3.087 -3.087 5.763
Rb Na Pa F
2 1 1 8
Direct
0.750 0.250 0.500
0.000 0.000 0.000
0.500 0.500 0.000
0.250 0.750 0.500
0.160 0.647 0.724
0.564 0.647 0.724
0.353 0.436 0.276
0.923 0.840 0.276
0.564 0.077 0.724
0.353 0.840 0.276
0.160 0.077 0.724
0.923 0.436 0.276
```

The calculation puts the total magnetic moment at 0.00 μB/f.u. Its electronic total energy is -68.08 eV per cell. Its formation energy from raw total energies is -3.36 eV/atom. As for the density of states at the Fermi level: 0.00 states/eV/cell.


The following is a DFT calculation (PBE-GGA) of an optimized crystal structure of CeNdI2.

```
CeNdI2
1.0
-1.034 3.197 1.983
-2.077 -0.330 3.287
8.343 0.351 7.625
I Nd Ce
2 1 1
Direct
0.097 0.097 0.708
0.903 0.903 0.292
0.500 0.500 0.500
0.000 0.000 0.000
```

The calculation puts the total magnetic moment at 1.86 μB/f.u. Its electronic total energy is -16.53 eV per cell. Its formation energy from raw total energies is -0.68 eV/atom. As for the density of states at the Fermi level: 8.30 states/eV/cell.


The following is a DFT calculation (PBE-GGA) of an optimized crystal structure of NdSm2TmS6.

```
NdSm2TmS6
1.0
7.050 0.000 0.000
3.525 6.105 0.000
3.525 2.035 6.235
Nd Sm Tm S
1 2 1 6
Direct
0.812 0.812 0.563
0.521 0.521 0.437
0.017 0.017 0.948
0.317 0.317 0.048
0.605 0.213 0.251
0.213 0.931 0.251
0.931 0.605 0.251
0.412 0.708 0.756
0.708 0.124 0.756
0.124 0.412 0.756
```

The calculation puts the total magnetic moment at 0.00 μB/f.u. Its electronic total energy is -63.73 eV per cell. Its formation energy from raw total energies is -2.03 eV/atom. As for the density of states at the Fermi level: 0.00 states/eV/cell.


The following is a DFT calculation (PBE-GGA) of an optimized crystal structure of TiCd2AgH.

```
TiCd2AgH
1.0
5.616 0.000 0.000
0.000 5.188 0.000
0.000 0.000 5.616
H Ti Ag Cd
1 1 1 2
Direct
0.500 0.500 0.500
0.000 0.000 0.000
0.000 0.500 0.000
0.000 0.000 0.500
0.500 0.000 0.000
```

The calculation puts the total magnetic moment at 3.44 μB/f.u. Its electronic total energy is -9.65 eV per cell. As for the density of states at the Fermi level: 6.71 states/eV/cell.


The following is a DFT calculation (PBE-GGA) of an optimized crystal structure of Ce2Ga2Fe15.

```
Ce2Ga2Fe15
1.0
6.432 0.011 0.009
0.927 6.365 0.009
0.927 0.803 6.314
Ga Ce Fe
2 2 15
Direct
0.899 0.899 0.899
0.101 0.101 0.101
0.652 0.652 0.652
0.348 0.348 0.348
0.000 0.000 0.500
0.000 0.500 0.000
0.500 0.000 0.000
0.305 0.695 0.000
0.695 0.000 0.305
0.000 0.305 0.695
0.305 0.000 0.695
0.000 0.695 0.305
0.695 0.305 0.000
0.341 0.341 0.842
0.341 0.842 0.341
0.842 0.341 0.341
0.659 0.659 0.158
0.659 0.158 0.659
0.158 0.659 0.659
```

The calculation puts the total magnetic moment at 29.59 μB/f.u. Its electronic total energy is -145.67 eV per cell. As for the density of states at the Fermi level: 21.33 states/eV/cell. Its energy relative to the elements is -78 kJ/mol of formula units.


The following is a DFT calculation (PBE-GGA) of an optimized crystal structure of CaTaSb2.

```
CaTaSb2
1.0
7.967 0.023 -0.021
6.178 5.031 0.021
-7.035 -2.633 2.657
Sb Ca Ta
2 1 1
Direct
0.970 0.970 0.000
0.684 0.184 0.500
0.299 0.799 0.500
0.546 0.546 0.000
```

The calculation puts the total magnetic moment at 0.00 μB/f.u. Its electronic total energy is -22.96 eV per cell. Its formation energy from raw total energies is -0.21 eV/atom. As for the density of states at the Fermi level: 2.68 states/eV/cell.